No. 1
Density functional theory data (PBE-GGA) for Tl7CdHg2 after structural relaxation.

POSCAR file:
```
Tl7CdHg2
1.0
-0.788 -3.265 0.557
6.566 -2.962 -8.085
2.985 1.045 10.356
Tl Hg Cd
7 2 1
Direct
0.500 0.313 0.128
0.500 0.128 0.313
0.500 0.500 0.500
0.500 0.872 0.687
0.000 0.809 0.191
0.500 0.687 0.872
0.000 0.191 0.809
0.500 0.669 0.331
0.500 0.331 0.669
0.000 0.000 0.000
```

Computed properties:
The value obtained for the energy is -1.725 eV per atom. Its volume is 32.70 Å³/atom. As for the energy of formation: 83 meV/atom. The calculation puts the energy above the most stable polymorph in this dataset at 0.0 meV/atom. Its symmetry is Cmmm (65).

***

No. 2
Density functional theory data (PBE-GGA) for Tl12CdHg7 after structural relaxation.

POSCAR file:
```
Tl12CdHg7
1.0
-4.915 6.908 -2.652
-2.955 -2.303 8.055
8.286 3.016 1.077
Tl Cd Hg
12 1 7
Direct
0.788 0.283 0.563
0.212 0.717 0.437
0.717 0.437 0.212
0.563 0.788 0.283
0.082 0.297 0.368
0.703 0.632 0.918
0.297 0.368 0.082
0.283 0.563 0.788
0.368 0.082 0.297
0.632 0.918 0.703
0.437 0.212 0.717
0.918 0.703 0.632
0.000 0.000 0.000
0.890 0.318 0.964
0.964 0.890 0.318
0.318 0.964 0.890
0.500 0.500 0.500
0.036 0.110 0.682
0.110 0.682 0.036
0.682 0.036 0.110
```

Computed properties:
The value obtained for the energy is -1.559 eV per atom. Its volume is 29.38 Å³/atom. As for the energy of formation: 12 meV/atom. Its symmetry is R-3 (148).

***

No. 3
Density functional theory data (PBE-GGA) for TlCd3Hg4 after structural relaxation.

POSCAR file:
```
TlCd3Hg4
1.0
-2.052 -2.385 2.397
4.045 -0.952 2.515
-2.140 8.555 6.679
Cd Hg Tl
3 4 1
Direct
0.000 0.500 0.608
0.000 0.000 0.385
0.500 0.000 0.887
0.000 0.000 0.116
0.000 0.500 0.871
0.500 0.500 0.394
0.500 0.000 0.621
0.500 0.500 0.117
```

Computed properties:
The value obtained for the energy is -0.759 eV per atom. Its volume is 26.57 Å³/atom. As for the energy of formation: 31 meV/atom. The calculation puts the energy above the most stable polymorph in this dataset at 3.3 meV/atom. Its symmetry is Pmm2 (25).

***

No. 4
Density functional theory data (PBE-GGA) for Tl2Cd5Hg5 after structural relaxation.

POSCAR file:
```
Tl2Cd5Hg5
1.0
-3.940 -0.457 -2.648
-2.541 -4.189 4.502
-4.294 7.990 5.011
Cd Hg Tl
5 5 2
Direct
0.000 0.500 0.672
0.000 0.000 0.827
0.000 0.000 0.173
0.500 0.000 0.000
0.000 0.500 0.328
0.500 0.500 0.500
0.500 0.745 0.758
0.500 0.255 0.242
0.500 0.255 0.758
0.500 0.745 0.242
0.000 0.000 0.500
0.000 0.500 0.000
```

Computed properties:
The value obtained for the energy is -0.844 eV per atom. Its volume is 27.41 Å³/atom. As for the energy of formation: 58 meV/atom. The calculation puts the energy above the most stable polymorph in this dataset at 37.0 meV/atom. Its symmetry is Pmmm (47).

***

No. 5
Density functional theory data (PBE-GGA) for TlCd12Hg3 after structural relaxation.

POSCAR file:
```
TlCd12Hg3
1.0
5.432 0.000 0.000
0.000 5.432 0.000
0.000 0.000 13.000
Cd Hg Tl
12 3 1
Direct
0.500 0.500 0.500
0.000 0.500 0.378
0.000 0.500 0.622
0.500 0.000 0.133
0.000 0.500 0.867
0.500 0.500 0.000
0.500 0.000 0.622
0.500 0.500 0.745
0.500 0.000 0.867
0.500 0.000 0.378
0.500 0.500 0.255
0.000 0.500 0.133
0.000 0.000 0.500
0.000 0.000 0.746
0.000 0.000 0.254
0.000 0.000 0.000
```

Computed properties:
The value obtained for the energy is -0.851 eV per atom. Its volume is 23.98 Å³/atom. As for the energy of formation: 40 meV/atom. Its symmetry is P4/mmm (123).

***

No. 6
Density functional theory data (PBE-GGA) for Tl5Cd2Hg12 after structural relaxation.

POSCAR file:
```
Tl5Cd2Hg12
1.0
-1.618 0.620 6.409
7.406 -6.921 -0.899
7.643 3.993 1.543
Hg Cd Tl
12 2 5
Direct
0.106 0.212 0.742
0.894 0.788 0.258
0.434 0.373 0.430
0.566 0.627 0.570
0.456 0.913 0.375
0.646 0.792 0.812
0.853 0.208 0.188
0.354 0.208 0.188
0.061 0.627 0.570
0.544 0.087 0.625
0.147 0.792 0.812
0.939 0.373 0.430
0.736 0.000 0.000
0.264 0.000 0.000
0.668 0.335 0.815
0.767 0.535 0.087
0.332 0.665 0.185
0.000 0.000 0.500
0.233 0.465 0.913
```

Computed properties:
The value obtained for the energy is -0.901 eV per atom. Its volume is 27.82 Å³/atom. As for the energy of formation: 9 meV/atom. The calculation puts the energy above the most stable polymorph in this dataset at 12.1 meV/atom. Its symmetry is C2/m (12).

***

No. 7
Density functional theory data (PBE-GGA) for Tl2Cd5Hg5 after structural relaxation.

POSCAR file:
```
Tl2Cd5Hg5
1.0
-0.130 3.433 0.542
0.859 0.536 7.971
11.922 1.559 4.152
Hg Cd Tl
5 5 2
Direct
0.327 0.301 0.046
0.500 0.500 0.500
0.673 0.699 0.954
0.440 0.862 0.259
0.560 0.138 0.741
0.164 0.187 0.485
0.775 0.168 0.283
0.000 0.000 0.000
0.225 0.832 0.717
0.836 0.813 0.515
0.883 0.448 0.786
0.117 0.552 0.214
```

Computed properties:
The value obtained for the energy is -0.881 eV per atom. Its volume is 26.05 Å³/atom. As for the energy of formation: 21 meV/atom. The calculation puts the energy above the most stable polymorph in this dataset at 0.0 meV/atom. Its symmetry is C2/m (12).

***

No. 8
Density functional theory data (PBE-GGA) for TlCdHg6 after structural relaxation.

POSCAR file:
```
TlCdHg6
1.0
-4.278 -0.446 -3.529
3.554 -4.362 -3.757
-3.914 -2.268 5.031
Hg Tl Cd
6 1 1
Direct
0.000 0.588 0.925
0.500 0.916 0.584
0.000 0.075 0.412
0.500 0.920 0.080
0.500 0.416 0.084
0.000 0.585 0.415
0.500 0.415 0.585
0.000 0.085 0.915
```

Computed properties:
The value obtained for the energy is -0.671 eV per atom. Its volume is 27.55 Å³/atom. As for the energy of formation: -34 meV/atom. The calculation puts the energy above the most stable polymorph in this dataset at 0.0 meV/atom. Its symmetry is Amm2 (38).

***

No. 9
Density functional theory data (PBE-GGA) for TlCd6Hg4 after structural relaxation.

POSCAR file:
```
TlCd6Hg4
1.0
-2.100 -2.984 1.751
7.622 -3.372 3.391
-4.713 6.066 4.686
Cd Hg Tl
6 4 1
Direct
0.000 0.946 0.473
0.000 0.527 0.473
0.500 0.190 0.381
0.000 0.527 0.054
0.500 0.190 0.810
0.500 0.619 0.810
0.500 0.374 0.187
0.500 0.813 0.187
0.000 0.333 0.667
0.500 0.813 0.626
0.000 0.000 0.000
```

Computed properties:
The value obtained for the energy is -0.802 eV per atom. Its volume is 25.80 Å³/atom. As for the energy of formation: 22 meV/atom. Its symmetry is P-6m2 (187).

***

No. 10
Density functional theory data (PBE-GGA) for Tl3Cd8Hg after structural relaxation.

POSCAR file:
```
Tl3Cd8Hg
1.0
6.007 0.000 0.000
3.004 5.203 0.000
3.004 1.734 9.927
Tl Cd Hg
3 8 1
Direct
0.375 0.375 0.874
0.501 0.501 0.497
0.999 0.999 0.003
0.436 0.935 0.192
0.687 0.687 0.939
0.439 0.938 0.684
0.935 0.436 0.192
0.938 0.439 0.684
0.436 0.436 0.192
0.188 0.188 0.437
0.938 0.938 0.684
0.876 0.876 0.372
```

Computed properties:
The value obtained for the energy is -1.200 eV per atom. Its volume is 25.85 Å³/atom. As for the energy of formation: 27 meV/atom. Its symmetry is R3m (160).

***

No. 11
Density functional theory data (PBE-GGA) for Tl4CdHg3 after structural relaxation.

POSCAR file:
```
Tl4CdHg3
1.0
-3.526 1.188 0.628
-1.821 -4.116 -2.436
-0.192 -6.053 10.370
Tl Hg Cd
4 3 1
Direct
0.500 0.000 0.651
0.000 0.000 0.149
0.500 0.500 0.347
0.000 0.500 0.852
0.000 0.500 0.587
0.500 0.000 0.915
0.000 0.000 0.413
0.500 0.500 0.084
```

Computed properties:
The value obtained for the energy is -1.400 eV per atom. Its volume is 28.99 Å³/atom. As for the energy of formation: 11 meV/atom. Its symmetry is Pmm2 (25).

***

No. 12
Density functional theory data (PBE-GGA) for TlCd4Hg12 after structural relaxation.

POSCAR file:
```
TlCd4Hg12
1.0
-0.421 2.783 -8.307
6.218 -6.144 0.713
-7.742 -3.390 2.343
Hg Cd Tl
12 4 1
Direct
0.149 0.351 0.500
0.851 0.351 0.202
0.149 0.649 0.798
0.351 0.202 0.851
0.500 0.851 0.649
0.500 0.149 0.351
0.798 0.149 0.649
0.649 0.798 0.149
0.351 0.500 0.149
0.202 0.851 0.351
0.649 0.500 0.851
0.851 0.649 0.500
0.500 0.000 0.000
0.500 0.500 0.500
0.000 0.500 0.000
0.000 0.000 0.500
0.000 0.000 0.000
```

Computed properties:
The value obtained for the energy is -0.501 eV per atom. Its volume is 30.55 Å³/atom. As for the energy of formation: 66 meV/atom. Its symmetry is Im-3 (204).